First-principles (PBE) data for a geometry-optimized Tb2Sc3Cd structure, as listed in Alexandria.

Cell lengths 3.2622, 16.4634, 6.1485 Å; angles 90.00, 90.00, 90.00 degrees
Last column: nearest neighbours and their distance in Å.
Space group Imm2 (No. 44)
One atom of each set of equivalent atoms:
Tb (0.0000, 0.1931, 0.0000) x4  4 Sc 3.18-3.34, 2 Tb 3.26, 1 Cd 3.42
Sc (0.0000, 0.1297, 0.4890) x4  1 Cd 2.85, 1 Tb 3.18
Sc (0.0000, 0.5000, 0.6969) x2  2 Cd 2.96, 6 Sc 3.23-3.26
Cd (0.0000, 0.0000, 0.7961) x2  4 Sc 2.85-2.96

Summary:
* total moment: 0.00 μB per cell
* DOS(E_F): 9.05 states/eV/f.u.
* energy: -56.5 eV for the cell shown
* calculated formation energy: 0.156 eV per atom



First-principles (PBE) data for a geometry-optimized TbScTiCd structure, as listed in Alexandria.

Cell lengths 7.2183, 7.2183, 7.2183 Å; angles 90.00, 90.00, 90.00 degrees
Last column: nearest neighbours and their distance in Å.
Space group F-43m (No. 216)
One atom of each set of equivalent atoms:
Tb (0.0000, 0.0000, 0.0000) x4  4 Cd 3.13, 4 Ti 3.13
Sc (0.0000, 0.0000, 0.5000) x4  4 Ti 3.13, 4 Cd 3.13
Ti (0.2500, 0.2500, 0.2500) x4  4 Tb 3.13, 4 Sc 3.13
Cd (0.2500, 0.2500, 0.7500) x4  4 Tb 3.13, 4 Sc 3.13

Summary:
* total moment: 11.25 μB per cell
* DOS(E_F): 6.47 states/eV/f.u.
* energy: -78.5 eV for the cell shown
* calculated formation energy: 0.039 eV per atom



First-principles (PBE) data for a geometry-optimized TbScTlCd structure, as listed in Alexandria.

Cell lengths 7.3569, 7.3569, 7.3569 Å; angles 90.00, 90.00, 90.00 degrees
Last column: nearest neighbours and their distance in Å.
Space group F-43m (No. 216)
One atom of each set of equivalent atoms:
Tb (0.0000, 0.0000, 0.0000) x4  4 Cd 3.19, 4 Tl 3.19
Sc (0.0000, 0.0000, 0.5000) x4  4 Cd 3.19, 4 Tl 3.19
Tl (0.2500, 0.2500, 0.7500) x4  4 Tb 3.19, 4 Sc 3.19
Cd (0.2500, 0.2500, 0.2500) x4  4 Tb 3.19, 4 Sc 3.19

Summary:
* total moment: 2.34 μB per cell
* DOS(E_F): 4.20 states/eV/f.u.
* energy: -61.9 eV for the cell shown
* calculated formation energy: -0.309 eV per atom



- What is the formula in the second record?
  TbScTiCd



- What is the calculated formation energy in the third record?
  -0.309 eV per atom



- Among the records above, which one has the lowest total moment?
  Tb2Sc3Cd



- DOS(E_F) of number 2 (TbScTiCd)?
  6.47 states/eV/f.u.